Below is an optimized crystal structure of MnCrNO2, with properties calculated at the PBE+U level.

abc: 3.850 3.850 3.684
angles: 90.00 90.00 90.00
Atoms (fractional coordinates):
1 Mn 0.000 0.000 0.000
2 Cr 0.500 0.500 0.500
3 N 0.500 0.500 0.000
4 O 0.000 0.500 0.500
5 O 0.500 0.000 0.500

Results
DOS at the Fermi energy (states/eV/f.u.): 1.758
Uncorrected energy (eV per atom): -7.157
Total magnetic moment (μB/f.u.): 6.0